w) Compound: Cd4As3
Source: Alexandria via LeMat-Bulk
Functional: GGA-PBE
Structure: relaxed

abc: 3.854 3.854 22.993
angles: 90.00 90.00 90.00
Space group I4/mmm (No. 139)
Symmetry-distinct sites (fractional):
Cd (0.000, 0.000, 0.062) [4 per cell]
Cd (0.000, 0.000, 0.307) [4 per cell]
As (0.000, 0.000, 0.177) [4 per cell]
As (0.000, 0.000, 0.500) [2 per cell]

---

x) Compound: Cd4As3
Source: Alexandria via LeMat-Bulk
Functional: GGA-PBE
Structure: relaxed

abc: 5.8280 5.8280 5.4404
angles: 90.00 90.00 120.00
Space group P6/mmm (No. 191)
Symmetry-distinct sites (fractional):
Cd (0.0000, 0.0000, 0.2448) [2 per cell]
Cd (0.3333, 0.6667, 0.0000) [2 per cell]
As (0.0000, 0.5000, 0.5000) [3 per cell]

---

Unit: kJ/mol of atoms. Relative energies: w) 0.0; x) 19.4.

---

w) Compound: Cd3As
Source: Alexandria via LeMat-Bulk
Functional: GGA-PBE
Structure: relaxed

abc: 9.3057 9.3057 3.7306
angles: 90.00 90.00 120.00
Space group R-3m (No. 166, hexagonal axes)
Symmetry-distinct sites (fractional):
Cd (0.0000, 0.5000, 0.0000) [9 per cell]
As (0.0000, 0.0000, 0.0000) [3 per cell]

---

x) Compound: Cd3As
Source: Alexandria via LeMat-Bulk
Functional: GGA-PBE
Structure: relaxed

abc: 3.072 4.260 6.736
angles: 90.00 90.00 90.00
Space group Pmmm (No. 47)
Symmetry-distinct sites (fractional):
Cd (0.000, 0.000, 0.000) [1 per cell]
Cd (0.500, 0.500, 0.256) [2 per cell]
As (0.000, 0.000, 0.500) [1 per cell]

---

y) Compound: Cd3As
Source: Alexandria via LeMat-Bulk
Functional: GGA-PBE
Structure: relaxed

abc: 7.138 7.138 7.138
angles: 90.00 90.00 90.00
Space group Fm-3m (No. 225)
Symmetry-distinct sites (fractional):
Cd (0.000, 0.000, 0.000) [4 per cell]
Cd (0.250, 0.250, 0.250) [8 per cell]
As (0.000, 0.000, 0.500) [4 per cell]

---

Unit: kJ/mol of atoms. Relative energies: w) 7.2; x) 0.0; y) 6.2.

---

w) Compound: Cd3As
Source: Alexandria via LeMat-Bulk
Functional: GGA-PBE
Structure: relaxed

abc: 2.881 5.425 11.669
angles: 90.00 90.00 90.00
Space group Immm (No. 71)
Symmetry-distinct sites (fractional):
Cd (0.000, 0.000, 0.000) [2 per cell]
Cd (0.000, 0.500, 0.235) [4 per cell]
As (0.000, 0.000, 0.500) [2 per cell]

---

x) Compound: Cd3As
Source: Alexandria via LeMat-Bulk
Functional: GGA-PBE
Structure: relaxed

abc: 6.1510 6.1510 5.4457
angles: 90.00 90.00 120.00
Space group P6_3/mmc (No. 194)
Symmetry-distinct sites (fractional):
Cd (0.1684, 0.3368, 0.2500) [6 per cell]
As (0.3333, 0.6667, 0.7500) [2 per cell]

---

Unit: kJ/mol of atoms. Relative energies: w) 0.0; x) 3.1.